Below is crystalline YCu2Re at its relaxed geometry, with properties calculated at the PBE level.

Summary:
**DOS(E_F)**: 1.579 states/eV/atom
**Magnetic moment**: 0.0 Bohr magnetons per cell
**ΔE to the lowest computed polymorph**: 0.4053 eV/atom
**DFT formation energy**: 258 kJ/mol of formula units

Cell: 4.242 4.242 9.274 Å, 76.78 76.78 90.00°
Fractional positions:
Cu 0.375 0.253 0.750
Cu 0.747 0.125 0.250
Cu 0.003 0.625 0.250
Cu 0.875 0.997 0.750
Re 0.000 0.000 0.000
Re 0.750 0.250 0.500
Y 0.250 0.750 0.500
Y 0.500 0.500 0.000